# 1
DFT (PBE-GGA) results for a relaxed structure of RbYMo2Au.

a = 4.8208 Å, b = 4.8208 Å, c = 5.4676 Å
α = 90.00°, β = 90.00°, γ = 90.00°
With the nearest neighbours (Å) after each atom.
Space group P4/mmm (No. 123)
Asymmetric unit:
Rb: 0.0000 0.0000 0.0000 [1 per cell]  4 Mo 2.41
Y: 0.5000 0.5000 0.5000 [1 per cell]  4 Au 3.41, 8 Mo 3.64
Mo: 0.0000 0.5000 0.0000 [2 per cell]  2 Rb 2.41
Au: 0.0000 0.0000 0.5000 [1 per cell]  2 Rb 2.73

Output
Energy relative to the elements (meV per atom): 2291
Crystal system: tetragonal

---

# 2
DFT (PBE-GGA) results for a relaxed structure of CaTeAuSeS.

a = 4.0803 Å, b = 4.5159 Å, c = 8.3960 Å
α = 96.05°, β = 90.19°, γ = 116.78°
With the nearest neighbours (Å) after each atom.
Space group P1 (No. 1)
Asymmetric unit:
Ca: 0.0000 0.0000 0.0000 [1 per cell]  3 S 2.85-2.94, 3 Se 2.93-2.97
Te: 0.4378 0.8804 0.4875 [1 per cell]  1 Se 2.61, 2 Au 2.76
Au: 0.1203 0.2460 0.6456 [1 per cell]  2 S 2.56, 2 Te 2.76
Se: 0.3420 0.6799 0.1802 [1 per cell]  1 Te 2.61
S: 0.6700 0.3444 0.8293 [1 per cell]  2 Au 2.56, 1 Ca 2.85

Output
Formation energy from raw total energies (eV per atom): -0.73
Crystal system: triclinic

---

# 3
DFT (PBE-GGA) results for a relaxed structure of InCo2Pt.

a = 2.8522 Å, b = 2.8522 Å, c = 7.1096 Å
α = 90.00°, β = 90.00°, γ = 90.00°
With the nearest neighbours (Å) after each atom.
Space group P4/mmm (No. 123)
Asymmetric unit:
In: 0.0000 0.0000 0.0000 [1 per cell]  8 Co 2.75, 4 In 2.85
Co: 0.5000 0.5000 0.2638 [2 per cell]  4 Pt 2.62, 4 In 2.75, 4 Co 2.85
Pt: 0.0000 0.0000 0.5000 [1 per cell]  8 Co 2.62, 4 Pt 2.85

Output
Energy relative to the elements (meV per atom): 122
Crystal system: tetragonal

---

# 4
DFT (PBE-GGA) results for a relaxed structure of PrYHo3Th.

a = 7.9911 Å, b = 5.0724 Å, c = 10.1357 Å
α = 90.00°, β = 108.91°, γ = 90.00°
With the nearest neighbours (Å) after each atom.
Space group P2_1/m (No. 11)
Asymmetric unit:
Pr: 0.1663 0.2500 0.2909 [2 per cell]  8 Ho 3.58-3.62, 3 Y 3.59, 1 Th 3.64
Y: 0.4984 0.2500 0.6288 [2 per cell]  5 Ho 3.50-3.64, 3 Pr 3.59, 2 Th 3.59, 2 Y 3.65
Ho: 0.1675 0.7500 0.5441 [2 per cell]  3 Y 3.56-3.64, 1 Th 3.56, 5 Ho 3.57-3.63, 3 Pr 3.58-3.61
Ho: 0.1744 0.7500 0.0419 [2 per cell]  3 Th 3.48-3.55, 1 Y 3.51, 5 Ho 3.57-3.69, 3 Pr 3.58-3.59
Ho: 0.1753 0.2500 0.7939 [2 per cell]  3 Th 3.49-3.52, 1 Y 3.50, 6 Ho 3.57-3.69, 2 Pr 3.62
Th: 0.4973 0.7500 0.8797 [2 per cell]  7 Ho 3.48-3.56, 2 Th 3.51, 2 Y 3.59, 1 Pr 3.64

Output
Energy relative to the elements (meV per atom): 29
Crystal system: monoclinic

---

# 5
DFT (PBE-GGA) results for a relaxed structure of CoPb.

a = 4.1451 Å, b = 8.9266 Å, c = 6.5685 Å
α = 90.00°, β = 90.00°, γ = 90.00°
With the nearest neighbours (Å) after each atom.
Space group Pmmn (No. 59, origin choice 2)
Asymmetric unit:
Co: 0.2500 0.0414 0.0974 [4 per cell]  3 Co 2.36-2.55
Co: 0.2500 0.2500 0.3186 [2 per cell]  2 Co 2.36
Pb: 0.2500 0.0666 0.6654 [4 per cell]  4 Co 2.77-2.85
Pb: 0.2500 0.7500 0.9576 [2 per cell]  8 Co 2.75-2.81

Output
Energy relative to the elements (meV per atom): 419
Crystal system: orthorhombic

---

# 6
DFT (PBE-GGA) results for a relaxed structure of Co2WCl.

a = 2.8992 Å, b = 2.8992 Å, c = 23.2414 Å
α = 90.00°, β = 90.00°, γ = 120.00°
With the nearest neighbours (Å) after each atom.
Space group R-3m (No. 166, hexagonal axes)
Asymmetric unit:
Co: 0.0000 0.0000 0.2491 [6 per cell]  3 Cl 2.54, 3 W 2.58
W: 0.0000 0.0000 0.0000 [3 per cell]  6 Co 2.58
Cl: 0.0000 0.0000 0.5000 [3 per cell]  6 Co 2.54

Output
Formation energy from raw total energies (eV per atom): 0.35
Crystal system: trigonal

---

Here are the calculated Fermi-level density of states numbers, same order: 5.101, 1.714, 5.765, 18.284, 11.927, 14.720 (states/eV per cell).